# 1
A relaxed TbSe crystal. Source: Alexandria, functional GGA-PBEsol.

space-group type: P6_3/mmc
Fermi-level density of states: 1.34 states/eV/f.u.
energy: -24.8 eV/cell
energy relative to the elements, uncorrected: -1773 meV per atom

Geometry as extended XYZ:
```
4
Lattice="3.8869 0.0000 0.0000 -1.9434 3.3661 0.0000 0.0000 0.0000 7.2375" Properties=species:S:1:pos:R:3 pbc="T T T"
Tb 0.0000 0.0000 0.0000
Tb 0.0000 0.0000 3.6188
Se 0.0000 2.2441 1.8094
Se 1.9434 1.1220 5.4282
```

---

# 2
A relaxed Tb2Se3 crystal. Source: Alexandria, functional GGA-PBEsol.

space-group type: I-42d
energy: -248.4 eV/cell
energy relative to the elements, uncorrected: -1896 meV per atom

Geometry as extended XYZ:
```
40
Lattice="-4.2800 4.2800 12.8553 4.2800 -4.2800 12.8553 4.2800 4.2800 -12.8553" Properties=species:S:1:pos:R:3 pbc="T T T"
Tb 3.1448 2.2056 -5.4031
Tb 0.0000 0.0000 4.2891
Tb 6.3544 1.1353 1.0246
Tb 1.1353 2.2056 -1.0246
Tb 2.1400 -1.0147 9.6415
Tb 3.2653 2.1400 3.2138
Tb 2.1400 5.2947 -3.2138
Tb 1.1353 2.0744 7.4523
Tb 2.0744 -1.1353 18.2584
Tb 0.0000 4.2800 2.1386
Tb 3.1448 2.0744 11.8308
Tb 0.0000 0.0000 21.4216
Tb 2.2056 5.4153 5.4031
Tb 1.0147 2.1400 16.0692
Tb -2.0744 3.1448 13.8799
Tb 0.0000 4.2800 10.7167
Se 7.0613 0.6134 -1.7170
Se 2.7431 -0.6254 3.7641
Se 4.9055 -1.5370 9.0913
Se 1.5028 -0.6805 6.8390
Se 3.5995 1.5028 0.4113
Se 3.6546 2.7431 -2.6636
Se 5.8170 0.6254 3.7641
Se 0.6134 1.4987 1.7170
Se 2.7773 4.9605 -6.0164
Se 2.7773 -0.6805 12.4440
Se 0.6134 2.7813 4.7107
Se 1.5370 -0.6254 15.5190
Se 3.6546 1.5370 9.0913
Se 3.5995 2.7773 6.0164
Se 1.5028 4.9605 -0.4113
Se 0.6254 1.5370 10.1917
Se 2.7431 4.9055 2.6636
Se -1.4987 3.6667 8.1447
Se 0.6805 2.7773 13.2667
Se -0.6134 5.7788 4.7107
Se -2.7813 3.6667 11.1383
Se 1.4987 4.8934 8.1447
Se 3.6667 2.7813 14.5724
Se 0.6805 1.5028 18.8717
```

---

# 3
A relaxed Tb2Se3 crystal. Source: Alexandria, functional GGA-PBEsol.

space-group type: Pnma
Fermi-level density of states: 0.07 states/eV/f.u.
energy: -124.5 eV/cell
energy relative to the elements, uncorrected: -1913 meV per atom

Geometry as extended XYZ:
```
20
Lattice="11.0628 0.0000 0.0000 0.0000 3.9901 0.0000 0.0000 0.0000 10.7677" Properties=species:S:1:pos:R:3 pbc="T T T"
Tb 0.1489 0.9975 2.0162
Tb 2.1553 0.9975 5.3842
Tb 3.3761 2.9926 0.0003
Tb 5.3825 2.9926 7.4001
Tb 5.6804 0.9975 3.3676
Tb 7.6867 0.9975 10.7675
Tb 8.9075 2.9926 5.3836
Tb 10.9139 2.9926 8.7515
Se 0.4857 2.9926 4.0453
Se 1.3270 0.9975 10.1563
Se 2.5132 2.9926 7.5251
Se 3.0182 0.9975 2.1413
Se 4.2044 2.9926 4.7725
Se 5.0457 0.9975 9.4292
Se 6.0171 2.9926 1.3385
Se 6.8584 0.9975 5.9953
Se 8.0447 2.9926 8.6265
Se 8.5496 0.9975 3.2426
Se 9.7358 2.9926 0.6114
Se 10.5771 0.9975 6.7224
```

---

# 4
A relaxed Tb3Se4 crystal. Source: Alexandria, functional GGA-PBEsol.

space-group type: I-43d
Fermi-level density of states: 3.93 states/eV/f.u.
energy: -86.9 eV/cell
energy relative to the elements, uncorrected: -1858 meV per atom

Geometry as extended XYZ:
```
14
Lattice="-4.2832 4.2832 4.2832 4.2832 -4.2832 4.2832 4.2832 4.2832 -4.2832" Properties=species:S:1:pos:R:3 pbc="T T T"
Tb 4.2832 -2.1416 3.2124
Tb 3.2124 4.2832 -2.1416
Tb 4.2832 2.1416 1.0708
Tb 2.1416 1.0708 4.2832
Tb 1.0708 4.2832 2.1416
Tb -2.1416 3.2124 4.2832
Se 2.7758 1.5074 -1.5074
Se 4.9174 -0.6342 0.6342
Se 1.5074 -1.5074 2.7758
Se 1.5074 1.5074 1.5074
Se -1.5074 2.7758 1.5074
Se 0.6342 4.9174 -0.6342
Se -0.6342 0.6342 4.9174
Se 3.6490 3.6490 3.6490
```

---

# 5
A relaxed TbSe crystal. Source: Alexandria, functional GGA-PBEsol.

space-group type: Fm-3m
Fermi-level density of states: 0.91 states/eV/f.u.
energy: -12.6 eV/cell
energy relative to the elements, uncorrected: -1847 meV per atom

Geometry as extended XYZ:
```
2
Lattice="0.0000 2.8509 2.8509 2.8509 0.0000 2.8509 2.8509 2.8509 0.0000" Properties=species:S:1:pos:R:3 pbc="T T T"
Tb 0.0000 0.0000 0.0000
Se 2.8509 2.8509 2.8509
```

---

# 6
A relaxed TbTlSe2 crystal. Source: Alexandria, functional GGA-PBEsol.

space-group type: R-3m
energy: -20.8 eV/cell
energy relative to the elements, uncorrected: -1356 meV per atom

Geometry as extended XYZ:
```
4
Lattice="2.0565 1.1873 7.6080 -2.0565 1.1873 7.6080 0.0000 -2.3747 7.6080" Properties=species:S:1:pos:R:3 pbc="T T T"
Tb 0.0000 0.0000 0.0000
Tl 0.0000 0.0000 11.4120
Se 0.0000 0.0000 6.0148
Se 0.0000 0.0000 16.8092
```

---

# 7
A relaxed Tc5Se crystal. Source: Alexandria, functional GGA-PBEsol.

space-group type: Cm
Fermi-level density of states: 5.31 states/eV/f.u.
energy: -59.6 eV/cell
energy relative to the elements, uncorrected: 101 meV per atom

Geometry as extended XYZ:
```
6
Lattice="4.9614 -1.4240 0.0000 4.9614 1.4240 0.0000 -1.8844 0.0000 6.0736" Properties=species:S:1:pos:R:3 pbc="T T T"
Tc 0.0000 0.0000 0.0000
Tc -0.7362 0.0000 3.8799
Tc 1.9464 0.0000 4.0175
Tc 5.5353 0.0000 2.1406
Tc 5.3159 0.0000 5.8162
Se 3.0265 0.0000 1.7348
```

---

# 8
A relaxed Tc4Se crystal. Source: Alexandria, functional GGA-PBEsol.

space-group type: Im-3m
Fermi-level density of states: 7.35 states/eV/f.u.
energy: -42.9 eV/cell
energy relative to the elements, uncorrected: 1200 meV per atom

Geometry as extended XYZ:
```
5
Lattice="-2.7515 2.7515 2.7515 2.7515 -2.7515 2.7515 2.7515 2.7515 -2.7515" Properties=species:S:1:pos:R:3 pbc="T T T"
Tc 1.3757 1.3757 -1.3757
Tc 1.3757 -1.3757 1.3757
Tc -1.3757 1.3757 1.3757
Tc 1.3757 1.3757 1.3757
Se 0.0000 0.0000 0.0000
```

---

# 9
A relaxed Tc3Se crystal. Source: Alexandria, functional GGA-PBEsol.

space-group type: Immm
Fermi-level density of states: 3.31 states/eV/f.u.
energy: -37.2 eV/cell
energy relative to the elements, uncorrected: 114 meV per atom

Geometry as extended XYZ:
```
4
Lattice="-1.4677 2.1751 4.3945 1.4677 -2.1751 4.3945 1.4677 2.1751 -4.3945" Properties=species:S:1:pos:R:3 pbc="T T T"
Tc 0.0000 0.0000 0.0000
Tc 1.4677 0.0000 2.4138
Tc 0.0000 2.1751 1.9807
Se 0.0000 0.0000 4.3945
```

---

# 10
A relaxed TcSe3 crystal. Source: Alexandria, functional GGA-PBEsol.

space-group type: Fm-3m
Fermi-level density of states: 2.53 states/eV/f.u.
distance to the lowest polymorph of the same formula: 197.7 meV/atom
energy: -20.9 eV/cell
energy relative to the elements, uncorrected: 469 meV per atom

Geometry as extended XYZ:
```
4
Lattice="0.0000 3.2128 3.2128 3.2128 0.0000 3.2128 3.2128 3.2128 0.0000" Properties=species:S:1:pos:R:3 pbc="T T T"
Tc 0.0000 0.0000 0.0000
Se 1.6064 1.6064 1.6064
Se 3.2128 3.2128 3.2128
Se 4.8192 4.8192 4.8192
```

---

# 11
A relaxed TcSe3 crystal. Source: Alexandria, functional GGA-PBEsol.

space-group type: Cmmm
Fermi-level density of states: 3.25 states/eV/f.u.
distance to the lowest polymorph of the same formula: 0.0 meV/atom
energy: -21.7 eV/cell
energy relative to the elements, uncorrected: 272 meV per atom

Geometry as extended XYZ:
```
4
Lattice="1.5073 -2.4159 0.0000 1.5073 2.4159 0.0000 0.0000 0.0000 10.1869" Properties=species:S:1:pos:R:3 pbc="T T T"
Tc 0.0000 0.0000 0.0000
Se 0.0000 0.0000 5.0935
Se 1.5073 0.0000 2.0336
Se 1.5073 0.0000 8.1533
```

---

# 12
A relaxed TcSe3 crystal. Source: Alexandria, functional GGA-PBEsol.

space-group type: P4/mmm
Fermi-level density of states: 3.44 states/eV/f.u.
distance to the lowest polymorph of the same formula: 288.4 meV/atom
energy: -20.6 eV/cell
energy relative to the elements, uncorrected: 560 meV per atom

Geometry as extended XYZ:
```
4
Lattice="4.5971 0.0000 0.0000 0.0000 4.5971 0.0000 0.0000 0.0000 3.1561" Properties=species:S:1:pos:R:3 pbc="T T T"
Tc 0.0000 0.0000 0.0000
Se 0.0000 2.2986 1.5781
Se 2.2986 0.0000 1.5781
Se 2.2986 2.2986 0.0000
```

---

Q: Which of these has the highest energy relative to the elements, uncorrected?
A: Tc4Se